DFT (PBE) results for TeRhPb after structural relaxation.

Unit cell a=3.6791 b=5.8691 c=6.7847 alpha=90.00 beta=90.00 gamma=90.00
Last column: nearest neighbours and their distance in Å.
Space group Pmn2_1 (No. 31)
One atom of each set of equivalent atoms:
Te 0.0000 0.0584 0.0000 x2  3 Rh 2.62-2.66
Rh 0.0000 0.2187 0.6334 x2  3 Te 2.62-2.66, 3 Pb 2.74-2.83
Pb 0.0000 0.4631 0.2901 x2  3 Rh 2.74-2.83

Energy relative to the elements, uncorrected in eV per atom: -0.30
Energy above the lowest structure with this stoichiometry in meV per atom: 33.3

DFT (PBE) results for TeRhPb3 after structural relaxation.

Unit cell a=5.3309 b=5.3309 c=5.3309 alpha=90.00 beta=90.00 gamma=90.00
Last column: nearest neighbours and their distance in Å.
Space group Pm-3m (No. 221)
One atom of each set of equivalent atoms:
Te 0.0000 0.0000 0.0000 x1  12 Pb 3.77
Rh 0.5000 0.5000 0.5000 x1  6 Pb 2.67
Pb 0.0000 0.5000 0.5000 x3  2 Rh 2.67

Energy relative to the elements, uncorrected in eV per atom: -0.09
Energy above the lowest structure with this stoichiometry in meV per atom: 0.0

DFT (PBE) results for TeRhPb after structural relaxation.

Unit cell a=6.9250 b=6.7742 c=6.9560 alpha=90.00 beta=116.60 gamma=90.00
Last column: nearest neighbours and their distance in Å.
Space group P2_1/c (No. 14)
One atom of each set of equivalent atoms:
Te 0.1563 0.1331 0.3275 x4  3 Rh 2.62-2.64
Rh 0.2101 0.0097 0.7058 x4  3 Te 2.62-2.64, 3 Pb 2.79-2.85
Pb 0.3582 0.6533 0.6219 x4  3 Rh 2.79-2.85, 1 Te 3.09

Energy relative to the elements, uncorrected in eV per atom: -0.33
Energy above the lowest structure with this stoichiometry in meV per atom: 0.0

DFT (PBE) results for Te2RhPb2 after structural relaxation.

Unit cell a=4.6421 b=4.6654 c=13.3848 alpha=99.51 beta=98.67 gamma=90.00
Last column: nearest neighbours and their distance in Å.
Space group P-1 (No. 2)
One atom of each set of equivalent atoms:
Te 0.0717 0.3142 0.1387 x2  2 Rh 2.74-2.75
Te 0.3094 0.0729 0.6371 x2  2 Rh 2.74-2.76
Rh 0.1442 0.8658 0.2495 x2  4 Te 2.74-2.76, 4 Pb 2.94-3.01
Pb 0.2043 0.4357 0.3926 x2  2 Rh 2.98-3.00, 5 Te 3.29-3.33
Pb 0.4271 0.2005 0.8932 x2  2 Rh 2.94-3.01, 2 Te 3.27

Energy relative to the elements, uncorrected in eV per atom: -0.26
Energy above the lowest structure with this stoichiometry in meV per atom: 0.0

DFT (PBE) results for Te2RhPb2 after structural relaxation.

Unit cell a=7.1746 b=7.1746 c=5.5088 alpha=90.00 beta=90.00 gamma=90.00
Last column: nearest neighbours and their distance in Å.
Space group P4/mbm (No. 127)
One atom of each set of equivalent atoms:
Te 0.1678 0.3322 0.0000 x4  2 Rh 2.67
Rh 0.0000 0.0000 0.0000 x2  4 Te 2.67
Pb 0.1730 0.6730 0.5000 x4  2 Te 3.19, 1 Pb 3.51

Energy relative to the elements, uncorrected in eV per atom: 0.01
Energy above the lowest structure with this stoichiometry in meV per atom: 265.8

DFT (PBE) results for Te2Rh2Pb after structural relaxation.

Unit cell a=4.9711 b=4.9711 c=9.4933 alpha=90.00 beta=90.00 gamma=90.00
Last column: nearest neighbours and their distance in Å.
Space group I4/mmm (No. 139)
One atom of each set of equivalent atoms:
Te 0.0000 0.5000 0.2500 x4  4 Rh 2.69
Rh 0.0000 0.0000 0.1428 x4  4 Te 2.69, 1 Rh 2.71
Pb 0.0000 0.0000 0.5000 x2  10 Rh 3.39-3.77, 8 Te 3.44

Energy relative to the elements, uncorrected in eV per atom: -0.04
Energy above the lowest structure with this stoichiometry in meV per atom: 110.2

DFT (PBE) results for Tl2TeRhPb after structural relaxation.

Unit cell a=5.3038 b=5.3038 c=5.3225 alpha=90.00 beta=90.00 gamma=90.00
Last column: nearest neighbours and their distance in Å.
Space group P4/mmm (No. 123)
One atom of each set of equivalent atoms:
Tl 0.0000 0.5000 0.0000 x2  2 Rh 2.65
Te 0.0000 0.0000 0.5000 x1  4 Pb 3.75, 8 Tl 3.76
Rh 0.5000 0.5000 0.0000 x1  4 Tl 2.65, 2 Pb 2.66
Pb 0.5000 0.5000 0.5000 x1  2 Rh 2.66

Energy relative to the elements, uncorrected in eV per atom: -0.11

DFT (PBE) results for YTeRh2Pb after structural relaxation.

Unit cell a=4.9639 b=4.9639 c=5.7797 alpha=90.00 beta=90.00 gamma=90.00
Last column: nearest neighbours and their distance in Å.
Space group P4/mmm (No. 123)
One atom of each set of equivalent atoms:
Y 0.0000 0.0000 0.0000 x1  2 Pb 2.89
Te 0.5000 0.5000 0.0000 x1  4 Y 3.51, 8 Rh 3.81
Rh 0.0000 0.5000 0.5000 x2  2 Pb 2.48
Pb 0.0000 0.0000 0.5000 x1  4 Rh 2.48

Energy relative to the elements, uncorrected in eV per atom: 0.61

DFT (PBE) results for ThRh4Pb after structural relaxation.

Unit cell a=7.6273 b=7.6273 c=7.6273 alpha=90.00 beta=90.00 gamma=90.00
Last column: nearest neighbours and their distance in Å.
Space group F-43m (No. 216)
One atom of each set of equivalent atoms:
Th 0.0000 0.0000 0.0000 x4  12 Rh 3.16, 4 Pb 3.30
Rh 0.1240 0.1240 0.3760 x16  6 Rh 2.68-2.72
Pb 0.2500 0.2500 0.7500 x4  12 Rh 3.16, 4 Th 3.30

E in eV/cell: -173.28

DFT (PBE) results for Th2RhPb after structural relaxation.

Unit cell a=4.0483 b=4.0483 c=25.0790 alpha=90.00 beta=90.00 gamma=120.00
Last column: nearest neighbours and their distance in Å.
Space group R-3m (No. 166, hexagonal axes)
One atom of each set of equivalent atoms:
Th 0.0000 0.0000 0.2325 x6  3 Rh 2.86
Rh 0.0000 0.0000 0.5000 x3  6 Th 2.86
Pb 0.0000 0.0000 0.0000 x3  6 Th 3.44

E in eV/cell: -83.89

DFT (PBE) results for Th4RhPb after structural relaxation.

Unit cell a=8.5897 b=14.4266 c=6.0420 alpha=90.00 beta=111.44 gamma=90.00
Last column: nearest neighbours and their distance in Å.
Space group C2/c (No. 15)
One atom of each set of equivalent atoms:
Th 0.0989 0.1902 0.0644 x8  2 Rh 3.10-3.37, 3 Th 3.27-3.45, 2 Pb 3.32-3.39
Th 0.2152 0.4197 0.3523 x8  2 Rh 2.90-3.05
Rh 0.0000 0.0141 0.7500 x4  6 Th 2.90-3.10, 2 Rh 3.05
Pb 0.0000 0.3844 0.7500 x4  10 Th 3.31-3.56

E in eV/cell: -170.57

DFT (PBE) results for Th4Rh15Pb after structural relaxation.

Unit cell a=4.1168 b=4.1168 c=20.5246 alpha=90.00 beta=90.00 gamma=90.00
Last column: nearest neighbours and their distance in Å.
Space group P4/mmm (No. 123)
One atom of each set of equivalent atoms:
Th 0.0000 0.0000 0.1012 x2  12 Rh 2.91-2.92
Th 0.0000 0.0000 0.3033 x2  12 Rh 2.91-2.93
Rh 0.0000 0.5000 0.0000 x2  8 Rh 2.91-2.93, 4 Th 2.92
Rh 0.0000 0.5000 0.2024 x4  8 Rh 2.91-2.93, 4 Th 2.92
Rh 0.0000 0.5000 0.4049 x4  2 Pb 2.84, 8 Rh 2.84-2.92, 2 Th 2.93
Rh 0.5000 0.5000 0.1014 x2  4 Th 2.91, 8 Rh 2.92-2.93
Rh 0.5000 0.5000 0.3042 x2  4 Th 2.91, 8 Rh 2.92-2.93
Rh 0.5000 0.5000 0.5000 x1  8 Rh 2.84, 4 Pb 2.91
Pb 0.0000 0.0000 0.5000 x1  12 Rh 2.84-2.91

E in eV/cell: -154.91

Question: Which formula does entry 1 have?
Answer: TeRhPb